No. 1
# YCdPb2 | Alexandria | GGA-PBE | relaxed
# Calculated volume ... 29.053 Å³ per atom
# DFT total energy ... -3.78 eV per atom
# DOS(E_F) ... 11.44 states/eV/cell
data_YCdPb2
_chemical_formula_sum 'Y3 Cd3 Pb6'
_cell_length_a 3.6372
_cell_length_b 3.6372
_cell_length_c 30.4304
_cell_angle_alpha 90.00
_cell_angle_beta 90.00
_cell_angle_gamma 120.00
_space_group_name_H-M_alt 'R -3 m'
_space_group_IT_number 166
_space_group_name_Hall '-R 3 2"'
loop_
_atom_site_label
_atom_site_type_symbol
_atom_site_fract_x
_atom_site_fract_y
_atom_site_fract_z
_atom_site_occupancy
Y1 Y 0.0000 0.0000 0.0000 1
Cd1 Cd 0.0000 0.0000 0.5000 1
Pb1 Pb 0.0000 0.0000 0.2470 1

***

No. 2
# YCd2Pb2 | Alexandria | GGA-PBE | relaxed
# Calculated volume ... 27.790 Å³ per atom
# DOS(E_F) ... 5.29 states/eV/cell
# Offset from the most stable computed form ... 98.7 kJ/mol of formula units
data_YCd2Pb2
_chemical_formula_sum 'Y2 Cd4 Pb4'
_cell_length_a 8.539
_cell_length_b 8.539
_cell_length_c 3.811
_cell_angle_alpha 90.00
_cell_angle_beta 90.00
_cell_angle_gamma 90.00
_space_group_name_H-M_alt 'P 4/m b m'
_space_group_IT_number 127
_space_group_name_Hall '-P 4 2ab'
loop_
_atom_site_label
_atom_site_type_symbol
_atom_site_fract_x
_atom_site_fract_y
_atom_site_fract_z
_atom_site_occupancy
Y1 Y 0.000 0.000 0.000 1
Cd1 Cd 0.156 0.344 0.500 1
Pb1 Pb 0.144 0.644 0.000 1

***

No. 3
# YCdPb | Alexandria | GGA-PBE | relaxed
# Calculated volume ... 27.312 Å³ per atom
# DFT total energy ... -3.93 eV per atom
# DOS(E_F) ... 8.03 states/eV/cell
data_YCdPb
_chemical_formula_sum 'Y4 Cd4 Pb4'
_cell_length_a 5.107
_cell_length_b 5.114
_cell_length_c 12.549
_cell_angle_alpha 90.00
_cell_angle_beta 90.00
_cell_angle_gamma 90.00
_space_group_name_H-M_alt 'F m m 2'
_space_group_IT_number 42
_space_group_name_Hall 'F 2 -2'
loop_
_atom_site_label
_atom_site_type_symbol
_atom_site_fract_x
_atom_site_fract_y
_atom_site_fract_z
_atom_site_occupancy
Y1 Y 0.000 0.000 0.000 1
Cd1 Cd 0.000 0.000 0.342 1
Pb1 Pb 0.000 0.000 0.681 1

***

No. 4
# YCdPb2 | Alexandria | GGA-PBE | relaxed
# Calculated volume ... 28.482 Å³ per atom
# DFT total energy ... -3.88 eV per atom
# DOS(E_F) ... 5.31 states/eV/cell
data_YCdPb2
_chemical_formula_sum 'Y2 Cd2 Pb4'
_cell_length_a 6.778
_cell_length_b 10.767
_cell_length_c 3.533
_cell_angle_alpha 90.00
_cell_angle_beta 117.91
_cell_angle_gamma 90.00
_space_group_name_H-M_alt 'C 1 2/m 1'
_space_group_IT_number 12
loop_
_space_group_symop_operation_xyz
'x,y,z'
'-x,-y,-z'
'-x,y,-z'
'x,-y,z'
'x+1/2,y+1/2,z'
'-x+1/2,-y+1/2,-z'
'-x+1/2,y+1/2,-z'
'x+1/2,-y+1/2,z'
loop_
_atom_site_label
_atom_site_type_symbol
_atom_site_fract_x
_atom_site_fract_y
_atom_site_fract_z
_atom_site_occupancy
Y1 Y 0.000 0.000 0.000 1
Cd1 Cd 0.000 0.500 0.000 1
Pb1 Pb 0.250 0.250 0.500 1

***

Copy entry 1 word for word.
# YCdPb2 | Alexandria | GGA-PBE | relaxed
# Calculated volume ... 29.053 Å³ per atom
# DFT total energy ... -3.78 eV per atom
# DOS(E_F) ... 11.44 states/eV/cell
data_YCdPb2
_chemical_formula_sum 'Y3 Cd3 Pb6'
_cell_length_a 3.6372
_cell_length_b 3.6372
_cell_length_c 30.4304
_cell_angle_alpha 90.00
_cell_angle_beta 90.00
_cell_angle_gamma 120.00
_space_group_name_H-M_alt 'R -3 m'
_space_group_IT_number 166
_space_group_name_Hall '-R 3 2"'
loop_
_atom_site_label
_atom_site_type_symbol
_atom_site_fract_x
_atom_site_fract_y
_atom_site_fract_z
_atom_site_occupancy
Y1 Y 0.0000 0.0000 0.0000 1
Cd1 Cd 0.0000 0.0000 0.5000 1
Pb1 Pb 0.0000 0.0000 0.2470 1

***

Copy entry 2 word for word.
# YCd2Pb2 | Alexandria | GGA-PBE | relaxed
# Calculated volume ... 27.790 Å³ per atom
# DOS(E_F) ... 5.29 states/eV/cell
# Offset from the most stable computed form ... 98.7 kJ/mol of formula units
data_YCd2Pb2
_chemical_formula_sum 'Y2 Cd4 Pb4'
_cell_length_a 8.539
_cell_length_b 8.539
_cell_length_c 3.811
_cell_angle_alpha 90.00
_cell_angle_beta 90.00
_cell_angle_gamma 90.00
_space_group_name_H-M_alt 'P 4/m b m'
_space_group_IT_number 127
_space_group_name_Hall '-P 4 2ab'
loop_
_atom_site_label
_atom_site_type_symbol
_atom_site_fract_x
_atom_site_fract_y
_atom_site_fract_z
_atom_site_occupancy
Y1 Y 0.000 0.000 0.000 1
Cd1 Cd 0.156 0.344 0.500 1
Pb1 Pb 0.144 0.644 0.000 1